Here is LiCe after structural relaxation from the Alexandria database. Energies are from PBE-GGA. Values from VASP.

**DOS at the Fermi energy**: 5.72 states/eV per cell
**Formation energy from the elements**: 102.1 meV/atom
**Calculated total energy**: -3.82 eV/atom
**Crystal system**: monoclinic

Geometry as Quantum ESPRESSO input:
```
&SYSTEM
  ibrav = 0, nat = 4, ntyp = 2
/
ATOMIC_SPECIES
Li 6.94 Li.upf
Ce 140.12 Ce.upf
CELL_PARAMETERS angstrom
3.083 0.000 0.000
0.000 4.283 0.000
-0.016 0.000 6.931
ATOMIC_POSITIONS crystal
Li 0.249 0.250 0.102
Li 0.751 0.750 0.898
Ce 0.251 0.250 0.595
Ce 0.749 0.750 0.405
```